Entry from Alexandria via LeMat-Bulk: crystalline CaGeP2 at its relaxed geometry (GGA-PBE).

Structure (CIF):
```
data_CaGeP2
_cell_length_a 6.7065
_cell_length_b 6.7065
_cell_length_c 8.3395
_cell_angle_alpha 90.00
_cell_angle_beta 90.00
_cell_angle_gamma 90.00
_symmetry_space_group_name_H-M 'P 1'
_symmetry_Int_Tables_number 1
_symmetry_space_group_name_Hall 'P 1'
loop_
_atom_site_label
_atom_site_fract_x
_atom_site_fract_y
_atom_site_fract_z
Ca1 0.0000 0.0000 0.0000
Ca2 0.0000 0.5000 0.2500
Ca3 0.5000 0.0000 0.7500
Ca4 0.5000 0.5000 0.5000
Ge1 0.0000 0.0000 0.5000
Ge2 0.0000 0.5000 0.7500
Ge3 0.5000 0.0000 0.2500
Ge4 0.5000 0.5000 0.0000
P1 0.1840 0.7500 0.6250
P2 0.2500 0.1840 0.3750
P3 0.2500 0.3160 0.8750
P4 0.3160 0.7500 0.1250
P5 0.6840 0.2500 0.1250
P6 0.7500 0.6840 0.8750
P7 0.7500 0.8160 0.3750
P8 0.8160 0.2500 0.6250
```

Properties
Mass density   3.09 Mg/m³
Energy of formation from the pure elements   -518 meV per atom
N(E_F)   0.0 states/eV/cell
E_tot   -4.88 eV per atom